(1)
The following is a PBE calculation of a relaxed LuZrZnNi crystal, from the Alexandria database.

The formation energy is -0.288 eV per atom.

Cell lengths 6.679, 6.679, 6.679 Å; angles 90.00, 90.00, 90.00 degrees
Space group F-43m (No. 216)
Symmetry-distinct sites (fractional):
Lu1 0.000 0.000 0.000 x4
Zr1 0.000 0.000 0.500 x4
Zn1 0.250 0.250 0.750 x4
Ni1 0.250 0.250 0.250 x4

***

(2)
The following is a PBE calculation of a relaxed LuZr2Ni crystal, from the Alexandria database.

The formation energy is -0.087 eV per atom.

Cell lengths 3.286, 3.286, 7.752 Å; angles 90.00, 90.00, 90.00 degrees
Space group P4/mmm (No. 123)
Symmetry-distinct sites (fractional):
Lu1 0.000 0.000 0.000 x1
Zr1 0.500 0.500 0.298 x2
Ni1 0.000 0.000 0.500 x1

***

(3)
The following is a PBE calculation of a relaxed LuZrNi4 crystal, from the Alexandria database.

The formation energy is -0.457 eV per atom.

Cell lengths 7.025, 7.025, 7.025 Å; angles 90.00, 90.00, 90.00 degrees
Space group F-43m (No. 216)
Symmetry-distinct sites (fractional):
Lu1 0.000 0.000 0.000 x4
Zr1 0.250 0.250 0.250 x4
Ni1 0.125 0.125 0.625 x16

***

(4)
The following is a PBE calculation of a relaxed LuZrNi2 crystal, from the Alexandria database.

The distance to the lowest polymorph of the same formula comes out at 0 meV/atom. The formation energy is -0.425 eV per atom.

Cell lengths 3.267, 3.267, 6.557 Å; angles 90.00, 90.00, 90.00 degrees
Space group P4/mmm (No. 123)
Symmetry-distinct sites (fractional):
Lu1 0.000 0.000 0.000 x1
Zr1 0.000 0.000 0.500 x1
Ni1 0.500 0.500 0.278 x2

***

(5)
The following is a PBE calculation of a relaxed LuZrNi2 crystal, from the Alexandria database.

The distance to the lowest polymorph of the same formula comes out at 20 meV/atom. The formation energy is -0.405 eV per atom.

Cell lengths 6.510, 6.510, 6.510 Å; angles 90.00, 90.00, 90.00 degrees
Space group Fm-3m (No. 225)
Symmetry-distinct sites (fractional):
Lu1 0.000 0.000 0.000 x4
Zr1 0.000 0.000 0.500 x4
Ni1 0.250 0.250 0.250 x8

***

(6)
The following is a PBE calculation of a relaxed Lu5Np crystal, from the Alexandria database.

The formation energy is 0.235 eV per atom.

Cell lengths 4.877, 14.477, 4.857 Å; angles 90.00, 90.00, 90.00 degrees
Space group Cmmm (No. 65)
Symmetry-distinct sites (fractional):
Lu1 0.000 0.000 0.000 x2
Lu2 0.000 0.165 0.500 x4
Lu3 0.000 0.337 0.000 x4
Np1 0.000 0.500 0.500 x2

***

(7)
The following is a PBE calculation of a relaxed LuNp2 crystal, from the Alexandria database.

The formation energy is 0.394 eV per atom.

Cell lengths 8.114, 8.114, 8.114 Å; angles 90.00, 90.00, 90.00 degrees
Space group Fd-3m (No. 227, origin choice 2)
Symmetry-distinct sites (fractional):
Lu1 0.125 0.125 0.125 x8
Np1 0.000 0.000 0.500 x16

***

(8)
The following is a PBE calculation of a relaxed Lu5Np3O12 crystal, from the Alexandria database.

The uncorrected formation energy comes out at -3128 meV per atom.

Cell lengths 13.372, 13.372, 13.372 Å; angles 90.00, 90.00, 90.00 degrees
Space group Ia-3d (No. 230)
Symmetry-distinct sites (fractional):
Lu1 0.000 0.000 0.000 x16
Lu2 0.000 0.250 0.375 x24
Np1 0.000 0.250 0.125 x24
O1 0.024 0.064 0.651 x96

***

(9)
The following is a PBE calculation of a relaxed LuNpOsPd crystal, from the Alexandria database.

The formation energy is -0.271 eV per atom.

Cell lengths 6.813, 6.813, 6.813 Å; angles 90.00, 90.00, 90.00 degrees
Space group F-43m (No. 216)
Symmetry-distinct sites (fractional):
Lu1 0.000 0.000 0.000 x4
Np1 0.000 0.000 0.500 x4
Os1 0.250 0.250 0.250 x4
Pd1 0.250 0.250 0.750 x4

***

(10)
The following is a PBE calculation of a relaxed LuNpPb2 crystal, from the Alexandria database.

The distance to the lowest polymorph of the same formula comes out at 306 meV/atom. The formation energy is 0.269 eV per atom.

Cell lengths 3.3697, 3.3697, 35.9626 Å; angles 90.00, 90.00, 120.00 degrees
Space group R-3m (No. 166, hexagonal axes)
Symmetry-distinct sites (fractional):
Lu1 0.0000 0.0000 0.0000 x3
Np1 0.0000 0.0000 0.5000 x3
Pb1 0.0000 0.0000 0.0867 x6

***

(11)
The following is a PBE calculation of a relaxed LuNpPb2 crystal, from the Alexandria database.

The distance to the lowest polymorph of the same formula comes out at 0 meV/atom. The formation energy is -0.037 eV per atom.

Cell lengths 3.454, 3.454, 9.108 Å; angles 90.00, 90.00, 90.00 degrees
Space group P4/mmm (No. 123)
Symmetry-distinct sites (fractional):
Lu1 0.000 0.000 0.000 x1
Np1 0.000 0.000 0.500 x1
Pb1 0.500 0.500 0.243 x2

***

(12)
The following is a PBE calculation of a relaxed LuNpPb2 crystal, from the Alexandria database.

The distance to the lowest polymorph of the same formula comes out at 47 meV/atom. The formation energy is 0.010 eV per atom.

Cell lengths 4.978, 4.978, 4.434 Å; angles 90.00, 90.00, 90.00 degrees
Space group P4/mmm (No. 123)
Symmetry-distinct sites (fractional):
Lu1 0.000 0.000 0.000 x1
Np1 0.500 0.500 0.000 x1
Pb1 0.000 0.500 0.500 x2

***

Q: Number 8 is which compound?
A: Lu5Np3O12